1.
Density functional theory data (PBE-GGA) for crystalline RbCd2Pb2 at its relaxed geometry.

Summary:
Symmetry   P4/nmm
ΔE to the lowest computed polymorph   1.3 kJ/mol of atoms

a b c (Å): 5.1136 5.1136 12.8601
angles (deg): 90.00 90.00 90.00
Last column: nearest neighbours and their distance in Å.
Positions (direct):
Rb 0.5000 0.0000 0.2548  8 Pb 3.91-4.16, 8 Cd 3.91-4.06
Rb 0.0000 0.5000 0.7452  8 Pb 3.91-4.16, 8 Cd 3.91-4.06
Pb 0.0000 0.0000 0.0000  4 Cd 3.12
Pb 0.5000 0.0000 0.6302  5 Cd 2.97-3.06
Pb 0.5000 0.5000 0.0000  4 Cd 3.12
Pb 0.0000 0.5000 0.3698  5 Cd 2.97-3.06
Cd 0.5000 0.0000 0.8613  5 Pb 2.97-3.12
Cd 0.5000 0.5000 0.5000  4 Pb 3.06
Cd 0.0000 0.0000 0.5000  4 Pb 3.06
Cd 0.0000 0.5000 0.1387  5 Pb 2.97-3.12

=====

2.
Density functional theory data (PBE-GGA) for crystalline Rb2Cd2Pb at its relaxed geometry.

Summary:
Symmetry   C2/m
ΔE to the lowest computed polymorph   4.5 kJ/mol of atoms

a b c (Å): 7.6720 8.1731 7.7590
angles (deg): 84.91 79.11 62.01
Last column: nearest neighbours and their distance in Å.
Positions (direct):
Rb 0.5032 0.6740 0.2905  4 Cd 3.63-3.95, 2 Pb 3.81-3.92
Rb 0.8228 0.6740 0.7095  4 Cd 3.63-3.95, 2 Pb 3.81-3.92
Rb 0.1772 0.3260 0.2905  4 Cd 3.63-3.95, 2 Pb 3.81-3.92
Rb 0.4968 0.3260 0.7095  4 Cd 3.63-3.95, 2 Pb 3.81-3.92
Cd 0.0745 0.0000 0.6579  2 Cd 2.89-3.17, 2 Pb 3.13
Cd 0.9255 0.0000 0.3421  2 Cd 2.89-3.17, 2 Pb 3.13
Cd 0.6670 0.0000 0.0682  2 Cd 2.95-3.17, 2 Pb 3.05
Cd 0.3330 0.0000 0.9318  2 Cd 2.95-3.17, 2 Pb 3.05
Pb 0.8798 0.2405 0.0000  4 Cd 3.05-3.13
Pb 0.1202 0.7595 0.0000  4 Cd 3.05-3.13

=====

3.
Density functional theory data (PBE-GGA) for crystalline Rb4CdPb4 at its relaxed geometry.

Summary:
Symmetry   I-42m

a b c (Å): 7.3365 9.8198 7.3365
angles (deg): 68.06 90.00 111.94
Last column: nearest neighbours and their distance in Å.
Positions (direct):
Rb 0.5568 0.7557 0.8011  5 Pb 3.71-4.13, 1 Rb 3.71, 1 Cd 3.90
Rb 0.4432 0.2443 0.5568  5 Pb 3.71-4.13, 1 Rb 3.71, 1 Cd 3.90
Rb 0.1989 0.7557 0.4432  5 Pb 3.71-4.13, 1 Rb 3.71, 1 Cd 3.90
Rb 0.8011 0.2443 0.1989  5 Pb 3.71-4.13, 1 Rb 3.71, 1 Cd 3.90
Pb 0.0066 0.3102 0.6965  1 Cd 3.01, 1 Pb 3.08
Pb 0.6965 0.6898 0.3035  1 Cd 3.01, 1 Pb 3.08
Pb 0.3035 0.3102 0.9934  1 Cd 3.01, 1 Pb 3.08
Pb 0.9934 0.6898 0.0066  1 Cd 3.01, 1 Pb 3.08
Cd 0.0000 0.0000 0.0000  4 Pb 3.01

=====

4.
Density functional theory data (PBE-GGA) for crystalline RbCd3Pb3 at its relaxed geometry.

Summary:
Symmetry   R-3
ΔE to the lowest computed polymorph   0.0 kJ/mol of atoms

a b c (Å): 8.9125 8.9125 8.4991
angles (deg): 58.38 58.38 60.00
Last column: nearest neighbours and their distance in Å.
Positions (direct):
Cd 0.9693 0.8985 0.8318  4 Cd 2.97-3.31, 2 Pb 3.08-3.11
Cd 0.6996 0.0307 0.1682  4 Cd 2.97-3.31, 2 Pb 3.08-3.11
Cd 0.3004 0.9693 0.8318  4 Cd 2.97-3.31, 2 Pb 3.08-3.11
Cd 0.1015 0.6996 0.1682  4 Cd 2.97-3.31, 2 Pb 3.08-3.11
Cd 0.8985 0.3004 0.8318  4 Cd 2.97-3.31, 2 Pb 3.08-3.11
Cd 0.0307 0.1015 0.1682  4 Cd 2.97-3.31, 2 Pb 3.08-3.11
Pb 0.3647 0.2698 0.4161  2 Cd 3.08-3.11, 2 Pb 3.36
Pb 0.0506 0.6353 0.5839  2 Cd 3.08-3.11, 2 Pb 3.36
Pb 0.6353 0.7302 0.5839  2 Cd 3.08-3.11, 2 Pb 3.36
Pb 0.2698 0.9494 0.4161  2 Cd 3.08-3.11, 2 Pb 3.36
Pb 0.7302 0.0506 0.5839  2 Cd 3.08-3.11, 2 Pb 3.36
Pb 0.9494 0.3647 0.4161  2 Cd 3.08-3.11, 2 Pb 3.36
Rb 0.6239 0.6239 0.1283  6 Pb 3.81-4.16, 6 Cd 3.84-4.21
Rb 0.3761 0.3761 0.8717  6 Pb 3.81-4.16, 6 Cd 3.84-4.21

=====

5.
Density functional theory data (PBE-GGA) for crystalline Rb2Cd10Pb at its relaxed geometry.

Summary:
Symmetry   Pbam

a b c (Å): 6.6731 12.6125 10.2161
angles (deg): 90.00 90.00 90.00
Last column: nearest neighbours and their distance in Å.
Positions (direct):
Cd 0.0000 0.8819 0.4484  7 Cd 2.86-3.20
Cd 0.0000 0.2934 0.3257  5 Cd 2.90-3.24, 1 Pb 3.16
Cd 0.0000 0.1181 0.5516  7 Cd 2.86-3.20
Cd 0.0000 0.5670 0.2211  3 Cd 2.86-2.91, 1 Pb 2.97
Cd 0.7167 0.7006 0.4173  4 Cd 2.89-3.24
Cd 0.2833 0.7994 0.9173  4 Cd 2.89-3.24
Cd 0.0000 0.0670 0.2789  3 Cd 2.86-2.91, 1 Pb 2.97
Cd 0.0000 0.4330 0.7789  3 Cd 2.86-2.91, 1 Pb 2.97
Cd 0.7167 0.2006 0.0827  4 Cd 2.89-3.24
Cd 0.0000 0.2066 0.8257  5 Cd 2.90-3.24, 1 Pb 3.16
Cd 0.7167 0.2994 0.5827  4 Cd 2.89-3.24
Cd 0.0000 0.6181 0.9484  7 Cd 2.86-3.20
Cd 0.0000 0.3819 0.0516  7 Cd 2.86-3.20
Cd 0.0000 0.7066 0.6743  5 Cd 2.90-3.24, 1 Pb 3.16
Cd 0.2833 0.7006 0.4173  4 Cd 2.89-3.24
Cd 0.2833 0.2006 0.0827  4 Cd 2.89-3.24
Cd 0.7167 0.7994 0.9173  4 Cd 2.89-3.24
Cd 0.0000 0.9330 0.7211  3 Cd 2.86-2.91, 1 Pb 2.97
Cd 0.0000 0.7934 0.1743  5 Cd 2.90-3.24, 1 Pb 3.16
Cd 0.2833 0.2994 0.5827  4 Cd 2.89-3.24
Rb 0.5000 0.9422 0.2390  12 Cd 3.71-4.04
Rb 0.5000 0.4422 0.2610  12 Cd 3.71-4.04
Rb 0.5000 0.0578 0.7610  12 Cd 3.71-4.04
Rb 0.5000 0.5578 0.7390  12 Cd 3.71-4.04
Pb 0.0000 0.0000 0.0000  8 Cd 2.97-3.27
Pb 0.0000 0.5000 0.5000  8 Cd 2.97-3.27

=====

6.
Density functional theory data (PBE-GGA) for crystalline Rb3Cd2Pb2 at its relaxed geometry.

Summary:
Symmetry   Pbcm

a b c (Å): 7.3729 9.6250 16.5424
angles (deg): 90.00 90.00 90.00
Last column: nearest neighbours and their distance in Å.
Positions (direct):
Rb 0.8775 0.3918 0.8989  3 Pb 3.78-4.19, 4 Cd 3.85-3.99
Rb 0.6697 0.7315 0.7500  3 Pb 3.68-3.98, 4 Cd 3.79-3.91
Rb 0.8775 0.1082 0.3989  3 Pb 3.78-4.19, 4 Cd 3.85-3.99
Rb 0.8775 0.1082 0.1011  3 Pb 3.78-4.19, 4 Cd 3.85-3.99
Rb 0.6697 0.7685 0.2500  3 Pb 3.68-3.98, 4 Cd 3.79-3.91
Rb 0.8775 0.3918 0.6011  3 Pb 3.78-4.19, 4 Cd 3.85-3.99
Rb 0.1225 0.6082 0.3989  3 Pb 3.78-4.19, 4 Cd 3.85-3.99
Rb 0.3303 0.2685 0.2500  3 Pb 3.68-3.98, 4 Cd 3.79-3.91
Rb 0.1225 0.8918 0.8989  3 Pb 3.78-4.19, 4 Cd 3.85-3.99
Rb 0.3303 0.2315 0.7500  3 Pb 3.68-3.98, 4 Cd 3.79-3.91
Rb 0.1225 0.8918 0.6011  3 Pb 3.78-4.19, 4 Cd 3.85-3.99
Rb 0.1225 0.6082 0.1011  3 Pb 3.78-4.19, 4 Cd 3.85-3.99
Cd 0.3845 0.9626 0.4038  3 Pb 3.01-3.19
Cd 0.3845 0.5374 0.5962  3 Pb 3.01-3.19
Cd 0.6155 0.0374 0.5962  3 Pb 3.01-3.19
Cd 0.6155 0.4626 0.4038  3 Pb 3.01-3.19
Cd 0.6155 0.4626 0.0962  3 Pb 3.01-3.19
Cd 0.6155 0.0374 0.9038  3 Pb 3.01-3.19
Cd 0.3845 0.9626 0.0962  3 Pb 3.01-3.19
Cd 0.3845 0.5374 0.9038  3 Pb 3.01-3.19
Pb 0.1806 0.9033 0.2500  2 Cd 3.01
Pb 0.6091 0.7500 0.5000  4 Cd 3.08-3.19
Pb 0.3909 0.2500 0.0000  4 Cd 3.08-3.19
Pb 0.3909 0.2500 0.5000  4 Cd 3.08-3.19
Pb 0.8194 0.4033 0.2500  2 Cd 3.01
Pb 0.1806 0.5967 0.7500  2 Cd 3.01
Pb 0.6091 0.7500 0.0000  4 Cd 3.08-3.19
Pb 0.8194 0.0967 0.7500  2 Cd 3.01

=====

7.
Density functional theory data (PBE-GGA) for crystalline Rb3Cd2Pb7 at its relaxed geometry.

Summary:
Symmetry   R-3m

a b c (Å): 6.9713 6.9713 11.0001
angles (deg): 71.53 71.53 60.00
Last column: nearest neighbours and their distance in Å.
Positions (direct):
Pb 0.5800 0.5800 0.7633  2 Cd 3.10-3.20, 3 Pb 3.37-3.46
Pb 0.4200 0.4200 0.2367  2 Cd 3.10-3.20, 3 Pb 3.37-3.46
Pb 0.5000 0.5000 0.5000  6 Pb 3.37
Pb 0.5800 0.0767 0.7633  2 Cd 3.10-3.20, 3 Pb 3.37-3.46
Pb 0.4200 0.9233 0.2367  2 Cd 3.10-3.20, 3 Pb 3.37-3.46
Pb 0.0767 0.5800 0.7633  2 Cd 3.10-3.20, 3 Pb 3.37-3.46
Pb 0.9233 0.4200 0.2367  2 Cd 3.10-3.20, 3 Pb 3.37-3.46
Rb 0.8586 0.8586 0.4241  12 Pb 3.98-4.10, 4 Rb 4.31-4.34
Rb 0.1414 0.1414 0.5759  12 Pb 3.98-4.10, 4 Rb 4.31-4.34
Rb 0.0000 0.0000 0.0000  6 Cd 4.03, 12 Pb 4.25, 2 Rb 4.34
Cd 0.3359 0.3359 0.9924  6 Pb 3.10-3.20
Cd 0.6641 0.6641 0.0076  6 Pb 3.10-3.20

=====

8.
Density functional theory data (PBE-GGA) for crystalline RbCd2Pb8 at its relaxed geometry.

Summary:
Symmetry   P4/mmm

a b c (Å): 6.6726 6.6726 10.2334
angles (deg): 90.00 90.00 90.00
Last column: nearest neighbours and their distance in Å.
Positions (direct):
Pb 0.2480 0.7520 0.1949  2 Cd 3.09, 4 Pb 3.31-3.36
Pb 0.2480 0.2480 0.8051  2 Cd 3.09, 4 Pb 3.31-3.36
Pb 0.7520 0.7520 0.1949  2 Cd 3.09, 4 Pb 3.31-3.36
Pb 0.2480 0.7520 0.8051  2 Cd 3.09, 4 Pb 3.31-3.36
Pb 0.7520 0.2480 0.8051  2 Cd 3.09, 4 Pb 3.31-3.36
Pb 0.7520 0.2480 0.1949  2 Cd 3.09, 4 Pb 3.31-3.36
Pb 0.7520 0.7520 0.8051  2 Cd 3.09, 4 Pb 3.31-3.36
Pb 0.2480 0.2480 0.1949  2 Cd 3.09, 4 Pb 3.31-3.36
Cd 0.5000 0.0000 0.0000  8 Pb 3.09
Cd 0.0000 0.5000 0.0000  8 Pb 3.09
Rb 0.5000 0.5000 0.5000  8 Pb 3.92

=====

9.
Density functional theory data (PBE-GGA) for crystalline Rb2Cd3Pb6 at its relaxed geometry.

Summary:
Symmetry   P-62m

a b c (Å): 5.2717 9.2428 9.2428
angles (deg): 120.00 90.00 90.00
Last column: nearest neighbours and their distance in Å.
Positions (direct):
Cd 0.5000 0.3963 0.3963  5 Pb 3.06-3.25
Cd 0.5000 0.6037 0.0000  5 Pb 3.06-3.25
Cd 0.5000 0.0000 0.6037  5 Pb 3.06-3.25
Pb 0.5000 0.0000 0.2722  3 Cd 3.06-3.25
Pb 0.0000 0.7979 0.0000  2 Cd 3.19, 6 Pb 3.24-3.47
Pb 0.5000 0.2722 0.0000  3 Cd 3.06-3.25
Pb 0.0000 0.2021 0.2021  2 Cd 3.19, 6 Pb 3.24-3.47
Pb 0.0000 0.0000 0.7979  2 Cd 3.19, 6 Pb 3.24-3.47
Pb 0.5000 0.7278 0.7278  3 Cd 3.06-3.25
Rb 0.0000 0.6667 0.3333  3 Pb 3.83, 6 Cd 3.87
Rb 0.0000 0.3333 0.6667  3 Pb 3.83, 6 Cd 3.87

=====

10.
Density functional theory data (PBE-GGA) for crystalline Rb4Cd4Pb at its relaxed geometry.

Summary:
Symmetry   P4_2/n

a b c (Å): 6.9581 10.7711 10.7711
angles (deg): 90.00 90.00 90.00
Last column: nearest neighbours and their distance in Å.
Positions (direct):
Cd 0.8651 0.5692 0.3489  1 Pb 3.11, 2 Cd 3.15
Cd 0.3651 0.8489 0.9308  1 Pb 3.11, 2 Cd 3.15
Cd 0.1349 0.6511 0.5692  1 Pb 3.11, 2 Cd 3.15
Cd 0.3651 0.1511 0.0692  1 Pb 3.11, 2 Cd 3.15
Cd 0.6349 0.9308 0.1511  1 Pb 3.11, 2 Cd 3.15
Cd 0.6349 0.0692 0.8489  1 Pb 3.11, 2 Cd 3.15
Cd 0.1349 0.3489 0.4308  1 Pb 3.11, 2 Cd 3.15
Cd 0.8651 0.4308 0.6511  1 Pb 3.11, 2 Cd 3.15
Pb 0.0000 0.0000 0.0000  4 Cd 3.11
Pb 0.5000 0.5000 0.5000  4 Cd 3.11
Rb 0.6219 0.8152 0.5923  1 Pb 3.64, 3 Cd 3.83-3.99
Rb 0.8781 0.3152 0.0923  1 Pb 3.64, 3 Cd 3.83-3.99
Rb 0.3781 0.4077 0.8152  1 Pb 3.64, 3 Cd 3.83-3.99
Rb 0.1219 0.0923 0.6848  1 Pb 3.64, 3 Cd 3.83-3.99
Rb 0.6219 0.1848 0.4077  1 Pb 3.64, 3 Cd 3.83-3.99
Rb 0.3781 0.5923 0.1848  1 Pb 3.64, 3 Cd 3.83-3.99
Rb 0.8781 0.6848 0.9077  1 Pb 3.64, 3 Cd 3.83-3.99
Rb 0.1219 0.9077 0.3152  1 Pb 3.64, 3 Cd 3.83-3.99

=====

11.
Density functional theory data (PBE-GGA) for crystalline RbCd2Pb3 at its relaxed geometry.

Summary:
Symmetry   Cmcm
ΔE to the lowest computed polymorph   0.6 kJ/mol of atoms

a b c (Å): 5.7836 8.6321 8.6321
angles (deg): 98.03 90.00 90.00
Last column: nearest neighbours and their distance in Å.
Positions (direct):
Pb 0.7500 0.0655 0.0655  4 Pb 3.25-3.35, 4 Cd 3.38
Pb 0.2500 0.9225 0.5449  4 Cd 3.21-3.38, 3 Pb 3.32-3.35
Pb 0.2500 0.9345 0.9345  4 Pb 3.25-3.35, 4 Cd 3.38
Pb 0.7500 0.0775 0.4551  4 Cd 3.21-3.38, 3 Pb 3.32-3.35
Pb 0.2500 0.5449 0.9225  4 Cd 3.21-3.38, 3 Pb 3.32-3.35
Pb 0.7500 0.4551 0.0775  4 Cd 3.21-3.38, 3 Pb 3.32-3.35
Rb 0.7500 0.6737 0.6737  8 Pb 3.86-4.19, 4 Cd 4.31
Rb 0.2500 0.3263 0.3263  8 Pb 3.86-4.19, 4 Cd 4.31
Cd 0.5000 0.2274 0.7726  2 Cd 2.89, 2 Pb 3.21
Cd 0.0000 0.2274 0.7726  2 Cd 2.89, 2 Pb 3.21
Cd 0.5000 0.7726 0.2274  2 Cd 2.89, 2 Pb 3.21
Cd 0.0000 0.7726 0.2274  2 Cd 2.89, 2 Pb 3.21

=====

12.
Density functional theory data (PBE-GGA) for crystalline Rb2Cd2Pb at its relaxed geometry.

Summary:
Symmetry   C2/c
ΔE to the lowest computed polymorph   0.0 kJ/mol of atoms

a b c (Å): 7.1289 6.8567 9.5753
angles (deg): 100.48 90.00 121.32
Last column: nearest neighbours and their distance in Å.
Positions (direct):
Cd 0.7383 0.7325 0.5035  2 Pb 3.12-3.16, 1 Cd 3.22
Cd 0.9941 0.7325 0.0035  2 Pb 3.12-3.16, 1 Cd 3.22
Cd 0.2617 0.2675 0.4965  2 Pb 3.12-3.16, 1 Cd 3.22
Cd 0.0059 0.2675 0.9965  2 Pb 3.12-3.16, 1 Cd 3.22
Rb 0.5228 0.2962 0.1509  6 Cd 3.65-3.87, 1 Pb 4.03
Rb 0.7734 0.2962 0.6509  6 Cd 3.65-3.87, 1 Pb 4.03
Rb 0.2266 0.7038 0.3491  6 Cd 3.65-3.87, 1 Pb 4.03
Rb 0.4772 0.7038 0.8491  6 Cd 3.65-3.87, 1 Pb 4.03
Pb 0.1274 0.0000 0.7500  4 Cd 3.12-3.16
Pb 0.8726 0.0000 0.2500  4 Cd 3.12-3.16

=====

no.,total energy (eV for the cell shown),calculated volume (Å³/atom)
1,-21.331,33.63
2,-15.557,42.19
3,-18.839,49.86
4,-29.764,33.24
5,-29.277,33.07
6,-51.132,41.93
7,-32.022,35.91
8,-30.837,41.42
9,-27.405,35.46
10,-22.650,44.85
11,-28.412,35.56
12,-16.024,39.07